VASP calculation (PBE-GGA) on a geometry-optimized Li2Zn2CdAu5 structure.

The volume is 362.2 Å³ per cell. For the energy of formation, the calculation gives -288 meV/atom. The density of states at the Fermi level comes out at 4.3 states/eV per cell. For the mass density, the calculation gives 11.4 Mg/m³.

The space group is P4/mbm (No. 127) and the conventional cell measures 9.3969, 9.3969 and 4.1022 Å, with angles of 90.00, 90.00 and 90.00 degrees. The distinct sites, in fractional coordinates, are Li at (0.1719, 0.3281, 0.0000), Zn at (0.1253, 0.6253, 0.0000), Cd at (0.0000, 0.0000, 0.0000), Au at (0.0000, 0.5000, 0.5000) and Au at (0.0813, 0.7994, 0.5000).